The following is a DFT calculation (GGA-PBE) of a relaxed BaCr2P crystal.

Computed properties:
E_form, eV per atom: 0.2380
Uncorrected energy, eV/atom: -6.41
M_tot, μB per formula unit: 1.0
SG: Imm2
Crystal system: orthorhombic

abc: 5.4212 5.4212 5.4212
angles: 133.27 109.19 89.19
Fractional coordinates of all 4 atoms:
Cr  0.7184  0.2184  0.5000
Cr  0.9170  0.9170  0.0000
P  0.5996  0.5996  0.0000
Ba  0.2650  0.7650  0.5000

=====

The following is a DFT calculation (GGA-PBE) of a relaxed Nd15Y2Mg2 crystal.

Computed properties:
E_form, eV per atom: 0.2126
Uncorrected energy, eV/atom: -4.40
M_tot, μB per formula unit: 0.0
SG: R-3m
Crystal system: trigonal

abc: 8.8298 8.8298 8.8298
angles: 79.95 79.95 79.95
Fractional coordinates of all 19 atoms:
Nd  0.5000  0.0000  0.0000
Nd  0.1577  0.6298  0.6298
Nd  0.0000  0.5000  0.0000
Nd  0.7037  0.2963  0.0000
Nd  0.6298  0.6298  0.1577
Nd  0.2963  0.0000  0.7037
Nd  0.0000  0.2963  0.7037
Nd  0.7037  0.0000  0.2963
Nd  0.3702  0.8423  0.3702
Nd  0.3702  0.3702  0.8423
Nd  0.0000  0.7037  0.2963
Nd  0.8423  0.3702  0.3702
Nd  0.0000  0.0000  0.5000
Nd  0.2963  0.7037  0.0000
Nd  0.6298  0.1577  0.6298
Y  0.6856  0.6856  0.6856
Y  0.3144  0.3144  0.3144
Mg  0.9074  0.9074  0.9074
Mg  0.0926  0.0926  0.0926

=====

The following is a DFT calculation (GGA-PBE) of a relaxed AcAl3Ru crystal.

Computed properties:
E_form, eV per atom: -0.4764
Uncorrected energy, eV/atom: -5.40
M_tot, μB per formula unit: 0.0
SG: Pm-3m
Crystal system: cubic

abc: 4.7843 4.7843 4.7843
angles: 90.00 90.00 90.00
Fractional coordinates of all 5 atoms:
Al  0.5000  0.0000  0.0000
Al  0.0000  0.0000  0.5000
Al  0.0000  0.5000  0.0000
Ac  0.5000  0.5000  0.5000
Ru  0.0000  0.0000  0.0000

=====

The following is a DFT calculation (GGA-PBE) of a relaxed ReSiW2 crystal.

Computed properties:
Uncorrected energy, eV/atom: -10.76
M_tot, μB per formula unit: 0.0
SG: C2/m
E_form (uncorrected), eV/atom: 0.18
Crystal system: monoclinic

abc: 4.9616 4.9616 2.7957
angles: 83.95 83.95 116.52
Fractional coordinates of all 4 atoms:
Si  0.0000  0.5000  0.5000
W  0.0000  0.0000  0.0000
W  0.5000  0.5000  0.0000
Re  0.5000  0.0000  0.5000

=====

The following is a DFT calculation (GGA-PBE) of a relaxed La4Sb3Se crystal.

Computed properties:
Uncorrected energy, eV/atom: -5.92
M_tot, μB per formula unit: 0.0
SG: P2/c
E_form (uncorrected), eV/atom: -1.47
Crystal system: monoclinic

abc: 7.8883 7.8788 9.1154
angles: 90.00 90.00 109.51
Fractional coordinates of all 16 atoms:
Sb  0.2500  0.5000  0.3737
Sb  0.7500  0.0000  0.3732
Sb  0.7500  0.5000  0.1242
Sb  0.2500  0.0000  0.6268
Sb  0.7500  0.5000  0.6263
Sb  0.2500  0.5000  0.8758
La  0.9991  0.7548  0.8778
La  0.5009  0.2452  0.8778
La  0.0033  0.7521  0.3724
La  0.0009  0.2452  0.1222
La  0.5033  0.7521  0.6276
La  0.9967  0.2479  0.6276
La  0.4967  0.2479  0.3724
La  0.4991  0.7548  0.1222
Se  0.2500  0.0000  0.1230
Se  0.7500  0.0000  0.8770

=====

The following is a DFT calculation (GGA-PBE) of a relaxed LiAg2Sb2 crystal.

Computed properties:
Uncorrected energy, eV/atom: -3.28
M_tot, μB per formula unit: 0.0
SG: C2/m
E_form (uncorrected), eV/atom: -0.11
Crystal system: monoclinic

abc: 4.2586 5.0718 5.9487
angles: 87.37 69.03 65.18
Fractional coordinates of all 5 atoms:
Li  0.0000  0.0000  0.0000
Sb  0.5933  0.5925  0.2210
Sb  0.4067  0.4075  0.7790
Ag  0.7996  0.8061  0.5946
Ag  0.2004  0.1939  0.4054

=====

The following is a DFT calculation (GGA-PBE) of a relaxed LiPuPt crystal.

Computed properties:
E_form, eV per atom: -0.4520
Uncorrected energy, eV/atom: -7.88
M_tot, μB per formula unit: 5.7
SG: Pmn2_1
Crystal system: orthorhombic

abc: 4.4591 6.2958 8.7218
angles: 90.00 90.00 90.00
Fractional coordinates of all 12 atoms:
Pu  0.5000  0.3858  0.7632
Pu  0.0000  0.6142  0.2632
Pu  0.0000  0.7154  0.6263
Pu  0.5000  0.2846  0.1263
Pt  0.0000  0.0518  0.2343
Pt  0.5000  0.9482  0.7343
Pt  0.5000  0.4767  0.4467
Pt  0.0000  0.5233  0.9467
Li  0.0000  0.2105  0.5131
Li  0.5000  0.7895  0.0131
Li  0.5000  0.9767  0.4165
Li  0.0000  0.0233  0.9165

=====

The following is a DFT calculation (GGA-PBE) of a relaxed BaCa2TcN4 crystal.

Computed properties:
Uncorrected energy, eV/atom: -6.88
M_tot, μB per formula unit: 1.0
SG: Pmn2_1
E_form (uncorrected), eV/atom: -0.68
Crystal system: orthorhombic

abc: 5.9924 6.4293 7.7844
angles: 90.00 90.00 90.00
Fractional coordinates of all 16 atoms:
Ca  0.9919  0.6593  0.2416
Ca  0.4919  0.3407  0.7416
Ca  0.4919  0.3407  0.2584
Ca  0.9919  0.6593  0.7584
N  0.3754  0.6889  0.3058
N  0.8754  0.3111  0.1942
N  0.9738  0.8980  0.0000
N  0.8754  0.3111  0.8058
N  0.4738  0.1020  0.5000
N  0.3754  0.6889  0.6942
N  0.3086  0.2496  0.0000
N  0.8086  0.7504  0.5000
Tc  0.0031  0.1911  0.0000
Tc  0.5031  0.8089  0.5000
Ba  0.9797  0.1304  0.5000
Ba  0.4797  0.8696  0.0000

=====

Q: Which value of M_tot does entry 5 give?
A: 0.0 μB per formula unit